## one
Here is Ba2Tc after structural relaxation from Alexandria. Energies are from GGA-PBEsol.

Computed properties:
Space-group type: I4/mmm (139)
Crystal system: tetragonal

POSCAR file:
```
Ba2Tc
1.0
-0.066 -0.718 -3.572
2.922 -2.144 0.377
-5.822 -4.338 2.839
Ba Tc
2 1
Direct
0.629 0.629 0.258 Ba
0.371 0.371 0.742 Ba
0.000 0.000 0.000 Tc
```

---

## two
Here is Ba2Tc after structural relaxation from Alexandria. Energies are from GGA-PBEsol.

Computed properties:
Space-group type: P-3m1 (164)
Crystal system: trigonal

POSCAR file:
```
Ba2Tc
1.0
-2.390 2.273 -1.553
-2.736 0.194 4.493
3.865 3.463 -0.879
Ba Tc
2 1
Direct
0.268 0.667 0.333 Ba
0.732 0.333 0.667 Ba
0.000 0.000 0.000 Tc
```

---

In order of decreasing stability: one, two.

---

## one
Here is BaTcW2 after structural relaxation from Alexandria. Energies are from GGA-PBEsol.

Computed properties:
Space-group type: P4/mmm (123)
Crystal system: tetragonal

POSCAR file:
```
BaTcW2
1.0
-1.234 -0.223 -2.799
-2.788 -0.262 1.250
-0.922 8.514 -0.271
W Tc Ba
2 1 1
Direct
0.000 0.000 0.676 W
0.000 0.000 0.324 W
0.500 0.500 0.500 Tc
0.500 0.500 0.000 Ba
```

---

## two
Here is BaTcW2 after structural relaxation from Alexandria. Energies are from GGA-PBEsol.

Computed properties:
Space-group type: C2/m (12)
Crystal system: monoclinic

POSCAR file:
```
BaTcW2
1.0
2.870 0.009 0.000
-1.182 5.262 0.000
-0.844 -2.635 4.867
Tc Ba W
1 1 2
Direct
0.500 0.000 0.000 Tc
0.000 0.500 0.000 Ba
0.000 0.000 0.500 W
0.500 0.500 0.500 W
```

---

In order of decreasing stability: one, two.

---

## one
Here is Ba2ZrTc after structural relaxation from Alexandria. Energies are from GGA-PBEsol.

Computed properties:
Space-group type: I4/mmm (139)
Crystal system: tetragonal

POSCAR file:
```
Ba2ZrTc
1.0
4.326 0.000 0.000
0.000 4.326 0.000
-2.163 -2.163 5.606
Ba Tc Zr
2 1 1
Direct
0.750 0.250 0.500 Ba
0.250 0.750 0.500 Ba
0.500 0.500 0.000 Tc
0.000 0.000 0.000 Zr
```

---

## two
Here is Ba2ZrTc after structural relaxation from Alexandria. Energies are from GGA-PBEsol.

Computed properties:
Space-group type: Cmmm (65)
Crystal system: orthorhombic

POSCAR file:
```
Ba2ZrTc
1.0
-2.629 0.939 1.704
2.670 -0.742 1.736
3.367 10.599 -0.647
Ba Zr Tc
2 1 1
Direct
0.000 0.000 0.288 Ba
0.000 0.000 0.712 Ba
0.500 0.500 0.000 Zr
0.500 0.500 0.500 Tc
```

---

In order of decreasing stability: one, two.

---

## one
Here is Ba4Te after structural relaxation from Alexandria. Energies are from GGA-PBEsol.

Computed properties:
Space-group type: I4/mmm (139)
Crystal system: tetragonal

POSCAR file:
```
Ba4Te
1.0
-0.297 4.331 -1.676
-3.577 0.858 2.850
9.027 0.926 7.253
Ba Te
4 1
Direct
0.419 0.419 0.838 Ba
0.750 0.250 0.500 Ba
0.581 0.581 0.162 Ba
0.250 0.750 0.500 Ba
0.000 0.000 0.000 Te
```

---

## two
Here is Ba4Te after structural relaxation from Alexandria. Energies are from GGA-PBEsol.

Computed properties:
Space-group type: Im-3m (229)
Crystal system: cubic

POSCAR file:
```
Ba4Te
1.0
-3.438 -3.631 4.814
6.742 -1.630 0.250
-0.786 6.787 1.222
Ba Te
4 1
Direct
0.500 0.500 0.500 Ba
0.000 0.000 0.500 Ba
0.500 0.000 0.000 Ba
0.000 0.500 0.000 Ba
0.000 0.000 0.000 Te
```

---

In order of decreasing stability: two, one.

---

## one
Here is BaTeW after structural relaxation from Alexandria. Energies are from GGA-PBEsol.

Computed properties:
Space-group type: P-6m2 (187)
Crystal system: hexagonal

POSCAR file:
```
BaTeW
1.0
-0.551 4.215 -1.721
-0.469 -3.665 -2.717
-4.740 -0.184 1.066
W Ba Te
1 1 1
Direct
0.667 0.333 0.000 W
0.000 0.000 0.500 Ba
0.333 0.667 0.000 Te
```

---

## two
Here is BaTeW after structural relaxation from Alexandria. Energies are from GGA-PBEsol.

Computed properties:
Space-group type: F-43m (216)
Crystal system: cubic

POSCAR file:
```
BaTeW
1.0
5.018 0.000 0.000
2.509 4.346 0.000
2.509 1.449 4.097
W Te Ba
1 1 1
Direct
0.000 0.000 0.000 W
0.750 0.750 0.750 Te
0.500 0.500 0.500 Ba
```

---

In order of decreasing stability: one, two.

---

## one
Here is BaYTe2 after structural relaxation from Alexandria. Energies are from GGA-PBEsol.

Computed properties:
Space-group type: R-3m (166)
Crystal system: trigonal

POSCAR file:
```
BaYTe2
1.0
4.501 0.000 0.000
2.251 3.898 0.000
2.251 1.299 7.715
Te Y Ba
2 1 1
Direct
0.261 0.261 0.216 Te
0.739 0.739 0.784 Te
0.000 0.000 0.000 Y
0.500 0.500 0.500 Ba
```

---

## two
Here is BaYTe2 after structural relaxation from Alexandria. Energies are from GGA-PBEsol.

Computed properties:
Space-group type: R-3m (166)
Crystal system: trigonal

POSCAR file:
```
BaYTe2
1.0
4.875 0.000 0.000
2.438 4.222 0.000
2.438 1.407 9.488
Y Ba Te
1 1 2
Direct
0.000 0.000 0.000 Y
0.500 0.500 0.500 Ba
0.099 0.099 0.703 Te
0.901 0.901 0.297 Te
```

---

In order of decreasing stability: one, two.